(1)
DFT (PBE) results for crystalline Ta3IrAu at its relaxed geometry.

The structure in POSCAR format:
```
Ta3IrAu
1.0
4.828 0.000 0.000
0.000 4.828 0.000
0.000 0.000 4.828
Ir Au Ta
1 1 3
direct
0.000 0.000 0.000 Ir
0.500 0.500 0.500 Au
0.000 0.500 0.000 Ta
0.000 0.000 0.500 Ta
0.500 0.000 0.000 Ta
```

Properties
SG	Pm-3m (221)
energy relative to the lowest polymorph listed for this composition	0	meV/atom
E	-42.692	eV for the cell shown



(2)
DFT (PBE) results for crystalline Ac2Pu2Sn7 at its relaxed geometry.

The structure in POSCAR format:
```
Ac2Pu2Sn7
1.0
8.096 -0.003 -0.201
0.003 5.973 0.002
-0.705 -0.003 8.068
Ac Pu Sn
2 2 7
direct
0.797 0.500 0.797 Ac
0.203 0.500 0.203 Ac
0.738 0.000 0.262 Pu
0.262 0.000 0.738 Pu
0.000 0.257 0.500 Sn
0.500 0.743 0.000 Sn
0.000 0.743 0.500 Sn
0.500 0.257 0.000 Sn
0.000 0.000 0.000 Sn
0.500 0.750 0.500 Sn
0.500 0.250 0.500 Sn
```

Properties
SG	Cmmm (65)
E	-65.651	eV for the cell shown



(3)
DFT (PBE) results for crystalline Rb4Y3ZrS8 at its relaxed geometry.

The structure in POSCAR format:
```
Rb4Y3ZrS8
1.0
-4.768 1.592 -6.254
-5.813 -6.226 2.848
1.863 5.814 5.206
Rb Y Zr S
4 3 1 8
direct
0.500 0.000 0.000 Rb
0.500 0.000 0.500 Rb
0.000 0.000 0.000 Rb
0.000 0.000 0.500 Rb
0.500 0.500 0.000 Y
0.500 0.500 0.500 Y
0.000 0.500 0.500 Y
0.000 0.500 0.000 Zr
0.224 0.691 0.967 S
0.224 0.691 0.448 S
0.268 0.305 0.537 S
0.743 0.691 0.967 S
0.257 0.309 0.033 S
0.732 0.695 0.463 S
0.776 0.309 0.552 S
0.776 0.309 0.033 S
```

Properties
SG	R-3m (166)
E	-92.598	eV for the cell shown



What did the first record say?
DFT (PBE) results for crystalline Ta3IrAu at its relaxed geometry.

The structure in POSCAR format:
```
Ta3IrAu
1.0
4.828 0.000 0.000
0.000 4.828 0.000
0.000 0.000 4.828
Ir Au Ta
1 1 3
direct
0.000 0.000 0.000 Ir
0.500 0.500 0.500 Au
0.000 0.500 0.000 Ta
0.000 0.000 0.500 Ta
0.500 0.000 0.000 Ta
```

Properties
SG	Pm-3m (221)
energy relative to the lowest polymorph listed for this composition	0	meV/atom
E	-42.692	eV for the cell shown